# 1
Compound: GdFe4Tc
Source: Alexandria
Functional: PBE
Structure: optimized geometry

The value obtained for the total energy is -9.55 eV per atom.

The space group is F-43m (No. 216) and the conventional cell measures 7.006, 7.006 and 7.006 Å, with angles of 90.00, 90.00 and 90.00 degrees. The inequivalent atoms are Gd at (0.000, 0.000, 0.000), Fe at (0.123, 0.123, 0.623) and Tc at (0.250, 0.250, 0.250).

# 2
Compound: Gd2FeTc
Source: Alexandria
Functional: PBE
Structure: optimized geometry

The value obtained for the total energy is -11.57 eV per atom.

The space group is P4/mmm (No. 123) and the conventional cell measures 3.495, 3.495 and 6.729 Å, with angles of 90.00, 90.00 and 90.00 degrees. The inequivalent atoms are Gd at (0.000, 0.000, 0.248), Fe at (0.500, 0.500, 0.500) and Tc at (0.500, 0.500, 0.000).

# 3
Compound: GdFe2Tc
Source: Alexandria
Functional: PBE
Structure: optimized geometry

The value obtained for the total energy is -9.77 eV per atom.

The space group is R-3m (No. 166, hexagonal axes) and the conventional cell measures 2.9044, 2.9044 and 26.6910 Å, with angles of 90.00, 90.00 and 120.00 degrees. The inequivalent atoms are Gd at (0.0000, 0.0000, 0.0000), Fe at (0.0000, 0.0000, 0.2388) and Tc at (0.0000, 0.0000, 0.5000).

# 4
Compound: Gd2FeTc
Source: Alexandria
Functional: PBE
Structure: optimized geometry

The value obtained for the total energy is -11.05 eV per atom.

The space group is R-3m (No. 166, hexagonal axes) and the conventional cell measures 3.2470, 3.2470 and 29.2301 Å, with angles of 90.00, 90.00 and 120.00 degrees. The inequivalent atoms are Gd at (0.0000, 0.0000, 0.0932), Fe at (0.0000, 0.0000, 0.0000) and Tc at (0.0000, 0.0000, 0.5000).

- What is the formula in the second record?
  Gd2FeTc